{
  "formula": "Cd4FeO5",
  "functional": "GGA+U",
  "state": "optimized geometry",
  "total_energy_ev_per_atom": -4.46,
  "cell": [[4.2105, 0.0000, 2.0309], [2.1053, 5.2970, 1.0154], [-0.1959, 0.0000, 5.7865]],
  "species": ["O", "Cd", "O", "Fe", "O", "Cd", "Cd", "Cd", "O", "O"],
  "fractional_positions": [[0.0909, 0.6241, 0.1949], [0.8008, 0.8001, 0.6014], [0.7150, 0.1949, 0.3759], [0.0099, 0.0000, 0.0000], [0.4927, 0.0000, 0.0000], [0.4022, 0.3986, 0.8001], [0.6009, 0.6014, 0.1999], [0.2023, 0.1999, 0.3986], [0.9099, 0.3759, 0.8051], [0.2858, 0.8051, 0.6241]]
}